## PmPr2Gd (PBE)

Data for a relaxed structure of PmPr2Gd.

Cell and atoms, written as extended XYZ:
```
4
Lattice="-1.323 4.460 2.264 -2.752 1.315 -4.199 -4.195 -2.278 2.036" Properties=species:S:1:pos:R:3 pbc="T T T"
Pm -4.135 1.749 0.051
Pr -2.098 -1.139 1.018
Gd -0.661 2.230 1.132
Pr -1.376 0.658 -2.099
```

E ... -7.09 eV/atom
E_form ... 10 meV/atom
Mass density ... 7.0 g cm⁻³
SG ... P4/mmm (123)
ΔE to the lowest computed polymorph ... 0 meV per atom
M_tot ... 7.36 μB per formula unit

=====

## RbHfAlO4 (PBE)

Data for a relaxed structure of RbHfAlO4.

Cell and atoms, written as extended XYZ:
```
14
Lattice="-2.791 -4.617 0.774 0.971 0.357 5.632 -4.117 7.007 0.266" Properties=species:S:1:pos:R:3 pbc="T T T"
O -3.243 -1.867 6.356
Rb -4.721 3.937 4.932
O -3.079 1.847 4.781
Hf -2.476 2.883 1.700
Hf -3.461 -0.136 4.972
Al -1.355 1.621 4.498
O -2.693 4.615 0.316
O -1.395 -0.138 4.616
Al -4.581 1.126 2.174
O -3.681 -2.028 3.818
O -4.541 2.885 2.056
O -2.255 4.775 2.854
O -2.857 0.900 1.891
Rb -1.215 -1.189 1.741
```

E ... -7.76 eV/atom
Mass density ... 5.3 g cm⁻³
SG ... P2_1/m (11)
Formation energy from raw total energies ... -2.84 eV/atom
M_tot ... 0.00 μB per formula unit

=====

## LaY2TiTc (PBE)

Data for a relaxed structure of LaY2TiTc.

Cell and atoms, written as extended XYZ:
```
5
Lattice="5.573 0.000 0.000 0.000 4.510 0.000 0.000 0.000 5.573" Properties=species:S:1:pos:R:3 pbc="T T T"
La 2.787 2.255 2.787
Ti 0.000 0.000 0.000
Tc 0.000 2.255 0.000
Y 2.787 0.000 0.000
Y 0.000 0.000 2.787
```

E ... -6.71 eV/atom
E_form ... 510 meV/atom
Mass density ... 5.5 g cm⁻³
SG ... P4/mmm (123)
M_tot ... 0.01 μB per formula unit

=====

Question: Among the records above, which one has the lowest M_tot?
Answer: RbHfAlO4

=====

Question: Which value of E does entry 2 give?
Answer: -7.76 eV/atom